Material: Er3Pa4N8
Method: DFT, PBE-GGA
State: optimized geometry

Cell lengths 9.7032, 9.8481, 6.8622 Å; angles 90.00, 134.09, 90.00 degrees
Closest atoms and distances in Å follow each position.
Space group C2/m (No. 12)
One atom of each set of equivalent atoms:
Er: 0.0000 0.0000 0.0000  6 N 2.45-2.55
Er: 0.2500 0.2500 0.0000  6 N 2.43-2.47
Pa: 0.0000 0.0000 0.5000  6 N 2.29-2.32
Pa: 0.0000 0.5000 0.0000  6 N 2.31-2.47
Pa: 0.2500 0.2500 0.5000  6 N 2.43-2.47
N: 0.0000 0.2353 0.5000  3 Pa 2.32-2.43, 2 Er 2.47
N: 0.0000 0.2487 0.0000  3 Er 2.43-2.45, 3 Pa 2.46-2.47
N: 0.2374 0.0000 0.5004  4 Pa 2.30-2.47, 1 Er 2.47
N: 0.2445 0.0000 0.9638  2 Pa 2.29-2.31, 3 Er 2.47-2.55

Summary:
Its mass density is 10.84 g/cm3. As for the crystal system: monoclinic. The density of states at the Fermi level comes out at 20.08 states/eV per cell. For the total energy, the calculation gives -9.41 eV/atom. As for the uncorrected formation energy: -1521 meV per atom.